# 1
Pr3Er6Tm2Sc | PBE | optimized geometry

Values from the calculation:
**Total DFT energy (no corrections)**: -4.713 eV per atom
**Energy of formation from the pure elements**: 0.4 eV per formula unit
**Theoretical density**: 8.00 g cm⁻³

Cell lengths 6.138, 6.138, 11.684 Å; angles 95.02, 95.02, 119.98 degrees
Atoms (fractional coordinates):
Pr  0.167  0.833  0.500
Pr  0.833  0.167  0.500
Pr  0.500  0.500  0.500
Er  0.920  0.589  0.758
Er  0.749  0.749  0.242
Er  0.080  0.411  0.242
Er  0.589  0.920  0.758
Er  0.251  0.251  0.758
Er  0.411  0.080  0.242
Tm  0.334  0.666  0.000
Tm  0.666  0.334  0.000
Sc  0.000  0.000  0.000

---

# 2
Cs3TlPt | PBE | optimized geometry

Values from the calculation:
**Total DFT energy (no corrections)**: -2.047 eV per atom
**Energy of formation from the pure elements**: 0.7 eV per formula unit
**Offset from the most stable computed form**: 0.0 meV per atom
**Theoretical density**: 4.42 g cm⁻³

Cell lengths 6.695, 6.695, 6.695 Å; angles 90.00, 90.00, 90.00 degrees
Each line ends with the local moment (μB).
Atoms (fractional coordinates):
Cs  0.000  0.500  0.000  0.03
Cs  0.000  0.000  0.500  0.03
Cs  0.500  0.000  0.000  0.02
Tl  0.500  0.500  0.500  0.28
Pt  0.000  0.000  0.000  0.05

---

# 3
RbSb2TeRu | PBE | optimized geometry

Values from the calculation:
**Total DFT energy (no corrections)**: -2.216 eV per atom
**Offset from the most stable computed form**: 2051.2 meV per atom
**Theoretical density**: 4.38 g cm⁻³

Cell lengths 5.929, 5.929, 6.018 Å; angles 90.00, 90.00, 90.00 degrees
Each line ends with the local moment (μB).
Atoms (fractional coordinates):
Sb  0.000  0.500  0.000  0.00
Sb  0.500  0.000  0.000  0.00
Te  0.000  0.000  0.500  0.00
Rb  0.000  0.000  0.000  0.02
Ru  0.500  0.500  0.500  2.70

---

# 4
PmSmHo2 | PBE | optimized geometry

Values from the calculation:
**Total DFT energy (no corrections)**: -4.637 eV per atom
**Energy of formation from the pure elements**: 0.1 eV per formula unit
**Offset from the most stable computed form**: 5.3 meV per atom
**Theoretical density**: 7.99 g cm⁻³

Cell lengths 3.583, 3.583, 10.118 Å; angles 90.00, 90.00, 90.00 degrees
Atoms (fractional coordinates):
Ho  0.000  0.000  0.749
Ho  0.000  0.000  0.251
Sm  0.500  0.500  0.500
Pm  0.500  0.500  0.000

---

# 5
Hf2UBe | PBE | optimized geometry

Values from the calculation:
**Total DFT energy (no corrections)**: -8.249 eV per atom
**Energy of formation from the pure elements**: 1.9 eV per formula unit
**Offset from the most stable computed form**: 343.7 meV per atom
**Theoretical density**: 13.07 g cm⁻³

Cell lengths 4.770, 4.770, 4.770 Å; angles 60.00, 60.00, 60.00 degrees
Each line ends with the local moment (μB).
Atoms (fractional coordinates):
Hf  0.250  0.250  0.250  0.31
Hf  0.750  0.750  0.750  0.31
U  0.000  0.000  0.000  1.88
Be  0.500  0.500  0.500  -0.05

---

# 6
Rb3PaSi2O8 | PBE | optimized geometry

Values from the calculation:
**Total DFT energy (no corrections)**: -7.206 eV per atom
**Theoretical density**: 4.50 g cm⁻³

Cell lengths 5.755, 5.755, 8.651 Å; angles 90.00, 90.00, 120.00 degrees
Atoms (fractional coordinates):
Rb  0.333  0.667  0.785
Rb  0.667  0.333  0.215
Rb  0.000  0.000  0.000
Pa  0.000  0.000  0.500
Si  0.333  0.667  0.282
Si  0.667  0.333  0.718
O  0.333  0.667  0.097
O  0.667  0.333  0.903
O  0.177  0.823  0.352
O  0.823  0.177  0.648
O  0.177  0.355  0.352
O  0.823  0.645  0.648
O  0.645  0.823  0.352
O  0.355  0.177  0.648

---

# 7
NdHoMnZn | PBE | optimized geometry

Values from the calculation:
**Total DFT energy (no corrections)**: -4.961 eV per atom
**Energy of formation from the pure elements**: -0.1 eV per formula unit
**Theoretical density**: 7.63 g cm⁻³

Cell lengths 5.094, 5.094, 5.094 Å; angles 60.00, 60.00, 60.00 degrees
Each line ends with the local moment (μB).
Atoms (fractional coordinates):
Zn  0.000  0.000  0.000  -0.02
Mn  0.500  0.500  0.500  3.48
Nd  0.250  0.250  0.250  -0.18
Ho  0.750  0.750  0.750  -0.27

---

# 8
Nd3ErTl4 | PBE | optimized geometry

Values from the calculation:
**Total DFT energy (no corrections)**: -3.919 eV per atom
**Energy of formation from the pure elements**: -3.0 eV per formula unit
**Offset from the most stable computed form**: 0.0 meV per atom
**Theoretical density**: 10.15 g cm⁻³

Cell lengths 3.837, 3.837, 15.757 Å; angles 90.00, 90.00, 90.00 degrees
Atoms (fractional coordinates):
Tl  0.000  0.000  0.886
Tl  0.000  0.000  0.114
Tl  0.000  0.000  0.371
Tl  0.000  0.000  0.629
Nd  0.500  0.500  0.243
Nd  0.500  0.500  0.500
Nd  0.500  0.500  0.757
Er  0.500  0.500  0.000

---

# 9
Ce3TeI7 | PBE | optimized geometry

Values from the calculation:
**Total DFT energy (no corrections)**: -4.218 eV per atom
**Theoretical density**: 4.35 g cm⁻³

Cell lengths 7.442, 9.227, 9.227 Å; angles 120.00, 90.00, 90.00 degrees
Each line ends with the local moment (μB).
Atoms (fractional coordinates):
Ce  0.778  0.495  0.505  0.99
Ce  0.778  0.495  0.990  0.99
Ce  0.778  0.010  0.505  0.99
Te  0.548  0.333  0.667  -0.03
I  0.021  0.171  0.829  -0.01
I  0.021  0.171  0.343  -0.01
I  0.026  0.667  0.333  -0.01
I  0.549  0.828  0.172  -0.01
I  0.549  0.345  0.172  -0.01
I  0.549  0.828  0.655  -0.01
I  0.021  0.657  0.829  -0.01

---

# 10
La4HoMg | PBE | optimized geometry

Values from the calculation:
**Total DFT energy (no corrections)**: -4.335 eV per atom
**Energy of formation from the pure elements**: -0.1 eV per formula unit
**Offset from the most stable computed form**: 0.0 meV per atom
**Theoretical density**: 6.06 g cm⁻³

Cell lengths 3.749, 3.749, 14.519 Å; angles 90.00, 90.00, 90.00 degrees
Atoms (fractional coordinates):
La  0.500  0.500  0.171
La  0.000  0.000  0.654
La  0.000  0.000  0.346
La  0.500  0.500  0.829
Ho  0.000  0.000  0.000
Mg  0.500  0.500  0.500

---

# 11
Ca2AlGe2 | PBE | optimized geometry

Values from the calculation:
**Total DFT energy (no corrections)**: -3.858 eV per atom
**Energy of formation from the pure elements**: -2.3 eV per formula unit
**Theoretical density**: 3.30 g cm⁻³

Cell lengths 6.102, 6.622, 7.734 Å; angles 115.35, 113.23, 90.00 degrees
Atoms (fractional coordinates):
Ca  0.857  0.670  0.714
Ca  0.143  0.330  0.286
Ca  0.643  0.955  0.286
Ca  0.357  0.045  0.714
Al  0.750  0.500  0.000
Al  0.250  0.500  0.000
Ge  0.386  0.611  0.773
Ge  0.614  0.389  0.227
Ge  0.114  0.838  0.227
Ge  0.886  0.162  0.773

---

# 12
TaNi12Pt6 | PBE | optimized geometry

Values from the calculation:
**Total DFT energy (no corrections)**: -6.175 eV per atom
**Energy of formation from the pure elements**: 0.2 eV per formula unit
**Theoretical density**: 13.33 g cm⁻³

Cell lengths 6.353, 6.353, 6.353 Å; angles 91.45, 91.45, 91.45 degrees
Each line ends with the local moment (μB).
Atoms (fractional coordinates):
Ta  0.000  0.000  0.000  -0.15
Ni  0.780  0.521  0.433  0.67
Ni  0.433  0.780  0.521  0.67
Ni  0.521  0.433  0.780  0.67
Ni  0.220  0.479  0.567  0.67
Ni  0.567  0.220  0.479  0.67
Ni  0.479  0.567  0.220  0.67
Ni  0.017  0.229  0.345  0.56
Ni  0.771  0.655  0.983  0.56
Ni  0.655  0.983  0.771  0.56
Ni  0.983  0.771  0.655  0.56
Ni  0.229  0.345  0.017  0.56
Ni  0.345  0.017  0.229  0.56
Pt  0.756  0.900  0.333  0.23
Pt  0.667  0.244  0.100  0.23
Pt  0.100  0.667  0.244  0.23
Pt  0.244  0.100  0.667  0.23
Pt  0.333  0.756  0.900  0.23
Pt  0.900  0.333  0.756  0.23

---

- Among the records above, which one has the lowest theoretical density?
  Ca2AlGe2